Record 1
## BaV8O21 (SCAN)

Data for a PBEsol-optimized structure of BaV8O21.

abc: 7.116 7.704 14.813
angles: 89.02 89.88 76.79
Positions (direct):
Ba (0.236, 0.054, 0.189)
Ba (0.764, 0.946, 0.811)
V (0.045, 0.819, 0.424)
V (0.070, 0.622, 0.229)
V (0.083, 0.664, 0.021)
V (0.157, 0.378, 0.429)
V (0.343, 0.624, 0.572)
V (0.412, 0.340, 0.976)
V (0.431, 0.378, 0.770)
V (0.455, 0.181, 0.576)
V (0.545, 0.819, 0.424)
V (0.569, 0.622, 0.230)
V (0.588, 0.660, 0.024)
V (0.657, 0.376, 0.428)
V (0.843, 0.622, 0.571)
V (0.917, 0.336, 0.979)
V (0.930, 0.378, 0.771)
V (0.955, 0.181, 0.576)
O (0.000, 0.000, 0.500)
O (0.025, 0.912, 0.325)
O (0.030, 0.817, 0.945)
O (0.064, 0.773, 0.124)
O (0.096, 0.610, 0.533)
O (0.106, 0.574, 0.359)
O (0.132, 0.425, 0.188)
O (0.142, 0.423, 0.967)
O (0.175, 0.331, 0.761)
O (0.191, 0.234, 0.549)
O (0.193, 0.224, 0.355)
O (0.303, 0.779, 0.643)
O (0.308, 0.766, 0.451)
O (0.320, 0.687, 0.243)
O (0.352, 0.587, 0.022)
O (0.390, 0.571, 0.813)
O (0.393, 0.425, 0.641)
O (0.403, 0.388, 0.466)
O (0.431, 0.190, 0.055)
O (0.450, 0.225, 0.875)
O (0.486, 0.087, 0.675)
O (0.500, 0.000, 0.500)
O (0.514, 0.913, 0.325)
O (0.550, 0.775, 0.125)
O (0.569, 0.810, 0.945)
O (0.597, 0.612, 0.534)
O (0.607, 0.575, 0.359)
O (0.610, 0.429, 0.187)
O (0.648, 0.413, 0.978)
O (0.680, 0.313, 0.757)
O (0.692, 0.234, 0.549)
O (0.697, 0.221, 0.357)
O (0.807, 0.776, 0.645)
O (0.809, 0.766, 0.451)
O (0.825, 0.669, 0.239)
O (0.858, 0.577, 0.033)
O (0.868, 0.575, 0.812)
O (0.894, 0.426, 0.641)
O (0.904, 0.390, 0.467)
O (0.936, 0.227, 0.876)
O (0.970, 0.183, 0.055)
O (0.975, 0.088, 0.675)

Values from the calculation:
Formation energy from raw total energies, eV/atom: -2.587

***

Record 2
## ZrSc2Fe (SCAN)

Data for a PBEsol-optimized structure of ZrSc2Fe.

abc: 3.152 3.152 7.685
angles: 90.00 90.00 90.00
Positions (direct):
Zr (0.000, 0.000, 0.000)
Sc (0.000, 0.000, 0.609)
Sc (0.500, 0.500, 0.284)
Fe (0.500, 0.500, 0.805)

Values from the calculation:
ΔE_f, eV/atom: -0.02
Relative energy among the computed polymorphs, eV per formula unit: 0.03